Record 1
# KVFe2Co

A relaxed structure of KVFe2Co (PBE, the Alexandria database).

Cell: 4.6371 4.6371 4.4790 Å, 90.00 90.00 90.00°
Sites, in units of the cell vectors:
K 0.0000 0.0000 0.0000
V 0.5000 0.5000 0.0000
Fe 0.0000 0.5000 0.5000
Fe 0.5000 0.0000 0.5000
Co 0.5000 0.5000 0.5000

## Properties
Energy, eV/atom: -5.864
Symmetry: P4/mmm, No. 123
Magnetic moment, μB/atom: 0.862

=====

Record 2
# K2FeCoW

A relaxed structure of K2FeCoW (PBE, the Alexandria database).

Cell: 6.5670 6.5670 4.3567 Å, 90.00 90.00 90.00°
Sites, in units of the cell vectors:
K 0.0000 0.5000 0.0000
K 0.5000 0.0000 0.0000
Fe 0.0000 0.0000 0.5000
Co 0.5000 0.5000 0.5000
W 0.5000 0.5000 0.0000

## Properties
Energy, eV/atom: -4.056
Symmetry: P4/mmm, No. 123
Magnetic moment, μB/atom: 1.109

=====

Record 3
# La2FeCo

A relaxed structure of La2FeCo (PBE, the Alexandria database).

Cell: 3.9921 3.9921 22.1227 Å, 90.00 90.00 120.00°
Sites, in units of the cell vectors:
La 0.0000 0.0000 0.0000
La 0.0000 0.0000 0.1770
La 0.3333 0.6667 0.6667
La 0.3333 0.6667 0.8437
La 0.6667 0.3333 0.3333
La 0.6667 0.3333 0.5104
Fe 0.0000 0.0000 0.7558
Fe 0.3333 0.6667 0.4225
Fe 0.6667 0.3333 0.0892
Co 0.0000 0.0000 0.4215
Co 0.3333 0.6667 0.0881
Co 0.6667 0.3333 0.7548

## Properties
Energy, eV/atom: -6.401
Symmetry: R3m, No. 160
Magnetic moment, μB/atom: 0.640
Energy relative to the lowest polymorph listed for this composition, kJ/mol of atoms: 0.0